A relaxed structure of Rb3NaAg2H6, computed with PBE-GGA.

Properties
The value obtained for the volume is 255.8 Å³ per cell. The density of states at the Fermi level is 0.000 states/eV per atom. The symmetry is P-3m1. For the calculated total energy, the calculation gives -2.611 eV/atom.

a = 6.314 Å, b = 6.314 Å, c = 7.411 Å
α = 90.00°, β = 90.00°, γ = 120.00°
Fractional coordinates of all 12 atoms:
Rb (0.000, 0.000, 0.000)
Rb (0.333, 0.667, 0.712)
Rb (0.667, 0.333, 0.288)
Na (0.000, 0.000, 0.500)
Ag (0.333, 0.667, 0.272)
Ag (0.667, 0.333, 0.728)
H (0.170, 0.339, 0.284)
H (0.170, 0.830, 0.284)
H (0.339, 0.170, 0.716)
H (0.661, 0.830, 0.284)
H (0.830, 0.170, 0.716)
H (0.830, 0.661, 0.716)